A plane-wave DFT calculation with GGA-PBE was carried out for a geometry-optimized RbBeOs structure.

Summary:
Energy   -38.699 eV/cell

abc: 6.3877 6.3877 6.3877
angles: 90.00 90.00 90.00
Space group F-43m (No. 216)
One atom of each set of equivalent atoms:
1 Rb 0.0000 0.0000 0.0000 [4 per cell]
2 Be 0.2500 0.2500 0.7500 [4 per cell]
3 Os 0.0000 0.0000 0.5000 [4 per cell]



A plane-wave DFT calculation with GGA-PBE was carried out for a geometry-optimized RbBeReOs structure.

Summary:
Energy   -85.790 eV/cell

abc: 6.4147 6.4147 6.4147
angles: 90.00 90.00 90.00
Space group F-43m (No. 216)
One atom of each set of equivalent atoms:
1 Rb 0.0000 0.0000 0.0000 [4 per cell]
2 Be 0.2500 0.2500 0.7500 [4 per cell]
3 Re 0.2500 0.2500 0.2500 [4 per cell]
4 Os 0.0000 0.0000 0.5000 [4 per cell]



A plane-wave DFT calculation with GGA-PBE was carried out for a geometry-optimized RbBeReOs structure.

Summary:
Energy   -76.381 eV/cell

abc: 6.3181 6.3181 6.3181
angles: 90.00 90.00 90.00
Space group F-43m (No. 216)
One atom of each set of equivalent atoms:
1 Rb 0.0000 0.0000 0.0000 [4 per cell]
2 Be 0.0000 0.0000 0.5000 [4 per cell]
3 Re 0.2500 0.2500 0.2500 [4 per cell]
4 Os 0.2500 0.2500 0.7500 [4 per cell]



A plane-wave DFT calculation with GGA-PBE was carried out for a geometry-optimized RbBeTcOs structure.

Summary:
Energy   -79.412 eV/cell

abc: 6.4313 6.4313 6.4313
angles: 90.00 90.00 90.00
Space group F-43m (No. 216)
One atom of each set of equivalent atoms:
1 Rb 0.0000 0.0000 0.0000 [4 per cell]
2 Be 0.2500 0.2500 0.7500 [4 per cell]
3 Tc 0.2500 0.2500 0.2500 [4 per cell]
4 Os 0.0000 0.0000 0.5000 [4 per cell]



A plane-wave DFT calculation with GGA-PBE was carried out for a geometry-optimized RbBeTcOs structure.

Summary:
Energy   -72.133 eV/cell

abc: 6.3644 6.3644 6.3644
angles: 90.00 90.00 90.00
Space group F-43m (No. 216)
One atom of each set of equivalent atoms:
1 Rb 0.0000 0.0000 0.0000 [4 per cell]
2 Be 0.0000 0.0000 0.5000 [4 per cell]
3 Tc 0.2500 0.2500 0.2500 [4 per cell]
4 Os 0.2500 0.2500 0.7500 [4 per cell]



A plane-wave DFT calculation with GGA-PBE was carried out for a geometry-optimized Be2Re2Os3 structure.

Summary:
Energy   -192.744 eV/cell

abc: 4.1366 4.1366 20.3594
angles: 90.00 90.00 120.00
Space group R3m (No. 160, hexagonal axes)
One atom of each set of equivalent atoms:
1 Be 0.0000 0.0000 0.0000 [3 per cell]
2 Be 0.0000 0.0000 0.4744 [3 per cell]
3 Re 0.0000 0.0000 0.2500 [3 per cell]
4 Re 0.0000 0.0000 0.7382 [3 per cell]
5 Os 0.0000 0.0000 0.1190 [3 per cell]
6 Os 0.0000 0.0000 0.6197 [3 per cell]
7 Os 0.0000 0.0000 0.8680 [3 per cell]



A plane-wave DFT calculation with GGA-PBE was carried out for a geometry-optimized BeRe2Os structure.

Summary:
Energy   -157.158 eV/cell

abc: 6.0060 6.0060 6.0060
angles: 90.00 90.00 90.00
Space group F-43m (No. 216)
One atom of each set of equivalent atoms:
1 Be 0.0000 0.0000 0.0000 [4 per cell]
2 Re 0.0000 0.0000 0.5000 [4 per cell]
3 Re 0.2500 0.2500 0.7500 [4 per cell]
4 Os 0.2500 0.2500 0.2500 [4 per cell]



A plane-wave DFT calculation with GGA-PBE was carried out for a geometry-optimized ScBe2Os structure.

Summary:
Energy   -98.586 eV/cell

abc: 5.9792 5.9792 5.9792
angles: 90.00 90.00 90.00
Space group F-43m (No. 216)
One atom of each set of equivalent atoms:
1 Sc 0.0000 0.0000 0.0000 [4 per cell]
2 Be 0.0000 0.0000 0.5000 [4 per cell]
3 Be 0.2500 0.2500 0.7500 [4 per cell]
4 Os 0.2500 0.2500 0.2500 [4 per cell]



A plane-wave DFT calculation with GGA-PBE was carried out for a geometry-optimized ScBe2Os2 structure.

Summary:
Energy   -75.811 eV/cell

abc: 6.3431 6.3431 3.0964
angles: 90.00 90.00 90.00
Space group P4/mbm (No. 127)
One atom of each set of equivalent atoms:
1 Sc 0.0000 0.0000 0.0000 [2 per cell]
2 Be 0.1178 0.3822 0.0000 [4 per cell]
3 Os 0.1673 0.6673 0.5000 [4 per cell]



A plane-wave DFT calculation with GGA-PBE was carried out for a geometry-optimized Be2Si2Os3 structure.

Summary:
Energy   -158.483 eV/cell

abc: 4.0349 4.0349 19.3703
angles: 90.00 90.00 120.00
Space group R3m (No. 160, hexagonal axes)
One atom of each set of equivalent atoms:
1 Be 0.0000 0.0000 0.0000 [3 per cell]
2 Be 0.0000 0.0000 0.4943 [3 per cell]
3 Si 0.0000 0.0000 0.2525 [3 per cell]
4 Si 0.0000 0.0000 0.7465 [3 per cell]
5 Os 0.0000 0.0000 0.1207 [3 per cell]
6 Os 0.0000 0.0000 0.6252 [3 per cell]
7 Os 0.0000 0.0000 0.8745 [3 per cell]



A plane-wave DFT calculation with GGA-PBE was carried out for a geometry-optimized Be2SiOs structure.

Summary:
Energy   -96.411 eV/cell

abc: 5.6157 5.6157 5.6157
angles: 90.00 90.00 90.00
Space group F-43m (No. 216)
One atom of each set of equivalent atoms:
1 Be 0.0000 0.0000 0.0000 [4 per cell]
2 Be 0.2500 0.2500 0.2500 [4 per cell]
3 Si 0.0000 0.0000 0.5000 [4 per cell]
4 Os 0.2500 0.2500 0.7500 [4 per cell]



A plane-wave DFT calculation with GGA-PBE was carried out for a geometry-optimized BeSiSnOs structure.

Summary:
Energy   -89.316 eV/cell

abc: 6.2135 6.2135 6.2135
angles: 90.00 90.00 90.00
Space group F-43m (No. 216)
One atom of each set of equivalent atoms:
1 Be 0.0000 0.0000 0.0000 [4 per cell]
2 Si 0.2500 0.2500 0.2500 [4 per cell]
3 Sn 0.2500 0.2500 0.7500 [4 per cell]
4 Os 0.0000 0.0000 0.5000 [4 per cell]



| no. | calculated volume (A^3/atom) |
| --- | --- |
| 1 | 21.720 |
| 2 | 16.497 |
| 3 | 15.763 |
| 4 | 16.626 |
| 5 | 16.112 |
| 6 | 14.367 |
| 7 | 13.541 |
| 8 | 13.360 |
| 9 | 12.458 |
| 10 | 13.005 |
| 11 | 11.068 |
| 12 | 14.993 |